Record 1
Compound: Tl2InBiH
Source: Alexandria
Functional: GGA-PBE
Structure: optimized geometry

As for the crystal system: tetragonal. The value obtained for the calculated volume is 128.90 Å³/cell. As for the energy above the lowest structure with this stoichiometry: 37.5 meV/atom. As for the energy: -2.76 eV/atom. Its space-group type is P4/mmm (123).

POSCAR file:
```
Tl2InBiH
1.0
-1.122 3.676 -3.661
0.090 -3.731 -3.775
-4.471 -0.741 0.626
H Tl In Bi
1 2 1 1
Direct
0.000 0.000 0.000
0.500 0.000 0.000
0.000 0.500 0.000
0.500 0.500 0.500
0.000 0.000 0.500
```


Record 2
Compound: Ga31Mo6
Source: Alexandria
Functional: GGA-PBE
Structure: optimized geometry

For the energy of formation, the calculation gives -5.14 eV/f.u. As for the crystal system: triclinic. The value obtained for the calculated volume is 1317.52 Å³/cell. As for the energy: -4.43 eV/atom. Its space-group type is P-1 (2).

POSCAR file:
```
Ga31Mo6
1.0
9.585 0.014 -0.034
0.767 9.535 -0.008
0.715 2.259 14.413
Ga Mo
62 12
Direct
0.088 0.038 0.175
0.072 0.532 0.672
0.923 0.735 0.083
0.733 0.117 0.039
0.453 0.302 0.544
0.047 0.785 0.437
0.019 0.237 0.737
0.278 0.106 0.706
0.928 0.468 0.328
0.893 0.436 0.148
0.547 0.698 0.456
0.568 0.529 0.671
0.346 0.142 0.879
0.300 0.566 0.519
0.204 0.332 0.403
0.371 0.953 0.143
0.440 0.217 0.050
0.560 0.783 0.950
0.912 0.962 0.825
0.789 0.402 0.979
0.595 0.214 0.354
0.825 0.477 0.784
0.332 0.398 0.733
0.213 0.078 0.535
0.396 0.629 0.826
0.629 0.047 0.857
0.267 0.883 0.961
0.432 0.661 0.146
0.000 0.000 0.000
0.565 0.042 0.674
0.722 0.274 0.689
0.654 0.858 0.121
0.891 0.178 0.392
0.604 0.371 0.174
0.432 0.471 0.329
0.278 0.726 0.311
0.500 0.000 0.500
0.787 0.922 0.465
0.838 0.688 0.917
0.405 0.786 0.646
0.851 0.962 0.637
0.953 0.215 0.563
0.659 0.763 0.757
0.109 0.822 0.608
0.167 0.847 0.787
0.500 0.500 0.000
0.568 0.339 0.854
0.162 0.312 0.083
0.722 0.894 0.294
0.149 0.038 0.363
0.796 0.668 0.597
0.211 0.598 0.021
0.175 0.523 0.216
0.981 0.763 0.263
0.833 0.153 0.213
0.668 0.602 0.267
0.700 0.434 0.481
0.435 0.958 0.326
0.077 0.265 0.917
0.341 0.237 0.243
0.107 0.564 0.852
0.000 0.500 0.500
0.574 0.092 0.191
0.303 0.842 0.472
0.186 0.329 0.591
0.697 0.158 0.528
0.305 0.393 0.928
0.426 0.908 0.809
0.937 0.729 0.746
0.063 0.271 0.254
0.171 0.793 0.126
0.814 0.671 0.409
0.829 0.207 0.874
0.695 0.607 0.072
```


Record 3
Compound: FeIrW2
Source: Alexandria
Functional: GGA-PBE
Structure: optimized geometry

For the energy of formation, the calculation gives 0.12 eV/f.u. As for the crystal system: monoclinic. The value obtained for the calculated volume is 58.52 Å³/cell. As for the energy above the lowest structure with this stoichiometry: 84.7 meV/atom. As for the energy: -10.78 eV/atom. Its space-group type is Cm (8).

POSCAR file:
```
FeIrW2
1.0
-2.620 -3.908 0.101
0.009 -4.706 0.011
-0.068 -0.754 4.737
W Ir Fe
2 1 1
Direct
0.755 0.755 0.722
0.995 0.995 0.021
0.247 0.247 0.244
0.503 0.503 0.512
```